(1)
A plane-wave DFT calculation with GGA-PBE was carried out for a relaxed structure of Cs3TeAu.

calculated volume	491	Å³ per cell
energy relative to the lowest polymorph listed for this composition	0	meV/atom
spin magnetization	0.00	μB per atom
energy relative to the elements, uncorrected	-732.7	meV per atom

Lattice parameters (Å, degrees): 5.546 9.643 10.047 113.85 90.04 90.03
Positions (direct):
Cs (0.250, 0.064, 0.215)
Cs (0.250, 0.322, 0.923)
Cs (0.250, 0.644, 0.420)
Cs (0.750, 0.356, 0.580)
Cs (0.750, 0.678, 0.077)
Cs (0.750, 0.936, 0.785)
Te (0.250, 0.668, 0.820)
Te (0.750, 0.332, 0.180)
Au (0.251, 0.050, 0.560)
Au (0.749, 0.950, 0.440)

=====

(2)
A plane-wave DFT calculation with GGA-PBE was carried out for a relaxed structure of La4TeBr5.

calculated volume	352	Å³ per cell
energy relative to the lowest polymorph listed for this composition	0	meV/atom
spin magnetization	0.00	μB per atom
energy relative to the elements, uncorrected	-1638.1	meV per atom
DOS(E_F)	6.594	states/eV per cell

Lattice parameters (Å, degrees): 9.517 9.517 9.202 99.40 99.40 25.40
Positions (direct):
La (0.001, 0.001, 0.247)
La (0.330, 0.330, 0.931)
La (0.670, 0.670, 0.069)
La (0.999, 0.999, 0.753)
Te (0.500, 0.500, 0.000)
Br (0.166, 0.166, 0.809)
Br (0.167, 0.167, 0.317)
Br (0.500, 0.500, 0.500)
Br (0.833, 0.833, 0.683)
Br (0.834, 0.834, 0.191)

=====

(3)
A plane-wave DFT calculation with GGA-PBE was carried out for a relaxed structure of ReTe3N.

calculated volume	138	Å³ per cell
energy relative to the lowest polymorph listed for this composition	477	meV/atom
spin magnetization	0.00	μB per atom
energy relative to the elements, uncorrected	1810.7	meV per atom
DOS(E_F)	8.153	states/eV per cell

Lattice parameters (Å, degrees): 5.166 5.166 5.166 90.00 90.00 90.00
Positions (direct):
Re (0.000, 0.000, 0.000)
Te (0.000, 0.000, 0.500)
Te (0.000, 0.500, 0.000)
Te (0.500, 0.000, 0.000)
N (0.500, 0.500, 0.500)

=====

(4)
A plane-wave DFT calculation with GGA-PBE was carried out for a relaxed structure of Ac2YPd2O6.

calculated volume	188	Å³ per cell
spin magnetization	0.27	μB per atom
energy relative to the elements, uncorrected	-1962.5	meV per atom
DOS(E_F)	5.925	states/eV per cell

Lattice parameters (Å, degrees): 6.659 6.659 6.659 55.62 55.62 55.62
Positions (direct):
Ac (0.210, 0.210, 0.210)
Ac (0.790, 0.790, 0.790)
Y (0.000, 0.000, 0.000)
Pd (0.409, 0.409, 0.409)
Pd (0.591, 0.591, 0.591)
O (0.194, 0.758, 0.758)
O (0.242, 0.242, 0.806)
O (0.242, 0.806, 0.242)
O (0.758, 0.194, 0.758)
O (0.758, 0.758, 0.194)
O (0.806, 0.242, 0.242)

=====

(5)
A plane-wave DFT calculation with GGA-PBE was carried out for a relaxed structure of Pr2GaF.

calculated volume	88	Å³ per cell
energy relative to the lowest polymorph listed for this composition	87	meV/atom
spin magnetization	0.00	μB per atom
energy relative to the elements, uncorrected	-1290.4	meV per atom
DOS(E_F)	1.740	states/eV per cell

Lattice parameters (Å, degrees): 3.369 3.369 7.760 90.00 90.00 90.00
Positions (direct):
Pr (0.000, 0.000, 0.243)
Pr (0.000, 0.000, 0.757)
Ga (0.500, 0.500, 0.500)
F (0.500, 0.500, 0.000)

=====

(6)
A plane-wave DFT calculation with GGA-PBE was carried out for a relaxed structure of TbMg2Zn2.

calculated volume	216	Å³ per cell
energy relative to the lowest polymorph listed for this composition	83	meV/atom
energy of formation	-0.620	eV per formula unit
spin magnetization	0.00	μB per atom
DOS(E_F)	5.403	states/eV per cell

Lattice parameters (Å, degrees): 12.340 12.340 12.340 160.20 160.20 28.15
Positions (direct):
Tb (0.122, 0.122, 0.000)
Tb (0.878, 0.878, 0.000)
Mg (0.000, 0.500, 0.500)
Mg (0.318, 0.318, 0.000)
Mg (0.500, 0.000, 0.500)
Mg (0.682, 0.682, 0.000)
Zn (0.250, 0.750, 0.500)
Zn (0.426, 0.426, 0.000)
Zn (0.574, 0.574, 0.000)
Zn (0.750, 0.250, 0.500)

=====

Q: Among the records above, which one has the highest calculated volume?
A: Cs3TeAu

=====

Q: What is the formula in the first record?
A: Cs3TeAu